# 1
# Cs2LiNbBi (PBE-GGA, relaxed)
# Total magnetic moment ... 3.867 μB per cell
data_Cs2LiNbBi
_symmetry_space_group_name_H-M 'P 4/m m m'
_symmetry_Int_Tables_number 123
_symmetry_space_group_name_Hall '-P 4 2'
_cell_length_a 6.587
_cell_length_b 6.587
_cell_length_c 5.511
_cell_angle_alpha 90.00
_cell_angle_beta 90.00
_cell_angle_gamma 90.00
loop_
_atom_site_label
_atom_site_type_symbol
_atom_site_fract_x
_atom_site_fract_y
_atom_site_fract_z
Cs1 Cs 0.000 0.500 0.000
Li1 Li 0.000 0.000 0.500
Nb1 Nb 0.500 0.500 0.000
Bi1 Bi 0.500 0.500 0.500

# 2
# K2BaCd (PBE-GGA, relaxed)
# Total magnetic moment ... 0.000 μB per cell
data_K2BaCd
_symmetry_space_group_name_H-M 'I m m 2'
_symmetry_Int_Tables_number 44
_symmetry_space_group_name_Hall 'I 2 -2'
_cell_length_a 4.581
_cell_length_b 6.973
_cell_length_c 13.697
_cell_angle_alpha 90.00
_cell_angle_beta 90.00
_cell_angle_gamma 90.00
loop_
_atom_site_label
_atom_site_type_symbol
_atom_site_fract_x
_atom_site_fract_y
_atom_site_fract_z
K1 K 0.000 0.000 0.000
K2 K 0.000 0.500 0.202
Ba1 Ba 0.000 0.500 0.802
Cd1 Cd 0.000 0.000 0.496

no.,energy of formation from the pure elements (meV per atom)
1,756
2,37